# 1
First-principles (GGA-PBE) data for crystalline LiIn4Re at its relaxed geometry, as listed in the Alexandria database.

a = 5.653 Å, b = 5.653 Å, c = 5.653 Å
α = 60.00°, β = 60.00°, γ = 60.00°
Fractional positions:
Li  0.000  0.000  0.000
In  0.375  0.375  0.375
In  0.375  0.375  0.875
In  0.375  0.875  0.375
In  0.875  0.375  0.375
Re  0.750  0.750  0.750

- space group = F-43m
- formation energy from the elements (eV per atom) = 0.668
- total magnetization (μB/cell) = 0.00

# 2
First-principles (GGA-PBE) data for crystalline ScTl2Te at its relaxed geometry, as listed in the Alexandria database.

a = 7.599 Å, b = 7.599 Å, c = 7.599 Å
α = 90.00°, β = 90.00°, γ = 90.00°
Fractional positions:
Sc  0.000  0.000  0.000
Sc  0.000  0.500  0.500
Sc  0.500  0.000  0.500
Sc  0.500  0.500  0.000
Tl  0.000  0.000  0.500
Tl  0.000  0.500  0.000
Tl  0.250  0.250  0.750
Tl  0.250  0.750  0.250
Tl  0.500  0.000  0.000
Tl  0.500  0.500  0.500
Tl  0.750  0.250  0.250
Tl  0.750  0.750  0.750
Te  0.250  0.250  0.250
Te  0.250  0.750  0.750
Te  0.750  0.250  0.750
Te  0.750  0.750  0.250

- space group = F-43m
- uncorrected formation energy (kJ per mole of atoms) = -13.1
- energy above the most stable polymorph in this dataset (meV/atom) = 284
- total magnetization (μB/cell) = 0.00

# 3
First-principles (GGA-PBE) data for crystalline CaPrTmLu at its relaxed geometry, as listed in the Alexandria database.

a = 8.123 Å, b = 8.123 Å, c = 8.123 Å
α = 90.00°, β = 90.00°, γ = 90.00°
Fractional positions:
Ca  0.000  0.000  0.000
Ca  0.000  0.500  0.500
Ca  0.500  0.000  0.500
Ca  0.500  0.500  0.000
Pr  0.250  0.250  0.750
Pr  0.250  0.750  0.250
Pr  0.750  0.250  0.250
Pr  0.750  0.750  0.750
Tm  0.250  0.250  0.250
Tm  0.250  0.750  0.750
Tm  0.750  0.250  0.750
Tm  0.750  0.750  0.250
Lu  0.000  0.000  0.500
Lu  0.000  0.500  0.000
Lu  0.500  0.000  0.000
Lu  0.500  0.500  0.500

- space group = F-43m
- formation energy from the elements (eV per atom) = 0.136
- total magnetization (μB/cell) = 0.00

# 4
First-principles (GGA-PBE) data for crystalline PmY2Rh3 at its relaxed geometry, as listed in the Alexandria database.

a = 4.902 Å, b = 4.902 Å, c = 5.993 Å
α = 90.00°, β = 90.00°, γ = 120.00°
Fractional positions:
Pm  0.000  0.000  0.000
Y  0.333  0.667  0.664
Y  0.667  0.333  0.336
Rh  0.000  0.000  0.500
Rh  0.333  0.667  0.171
Rh  0.667  0.333  0.829

- space group = P-3m1
- formation energy from the elements (eV per atom) = -0.788
- energy above the most stable polymorph in this dataset (meV/atom) = 0
- total magnetization (μB/cell) = 0.00

# 5
First-principles (GGA-PBE) data for crystalline PrZn3Ru at its relaxed geometry, as listed in the Alexandria database.

a = 6.735 Å, b = 6.735 Å, c = 6.735 Å
α = 136.14°, β = 102.05°, γ = 94.03°
Fractional positions:
Pr  0.279  0.029  0.250
Pr  0.721  0.971  0.750
Zn  0.087  0.337  0.750
Zn  0.250  0.000  0.750
Zn  0.250  0.500  0.250
Zn  0.750  0.000  0.250
Zn  0.750  0.500  0.750
Zn  0.913  0.663  0.250
Ru  0.000  0.500  0.500
Ru  0.500  0.500  0.000

- space group = Imma
- formation energy from the elements (eV per atom) = -0.132
- energy above the most stable polymorph in this dataset (meV/atom) = 69
- total magnetization (μB/cell) = 0.00

# 6
First-principles (GGA-PBE) data for crystalline Pm4ZnCu at its relaxed geometry, as listed in the Alexandria database.

a = 3.641 Å, b = 3.641 Å, c = 12.432 Å
α = 90.00°, β = 90.00°, γ = 90.00°
Fractional positions:
Pm  0.000  0.000  0.137
Pm  0.000  0.000  0.863
Pm  0.500  0.500  0.355
Pm  0.500  0.500  0.645
Zn  0.000  0.000  0.500
Cu  0.500  0.500  0.000

- space group = P4/mmm
- formation energy from the elements (eV per atom) = -0.140
- energy above the most stable polymorph in this dataset (meV/atom) = 0
- total magnetization (μB/cell) = 0.00

# 7
First-principles (GGA-PBE) data for crystalline GaTc3Cl at its relaxed geometry, as listed in the Alexandria database.

a = 4.347 Å, b = 4.347 Å, c = 4.347 Å
α = 90.00°, β = 90.00°, γ = 90.00°
Fractional positions:
Ga  0.000  0.000  0.000
Tc  0.000  0.500  0.500
Tc  0.500  0.000  0.500
Tc  0.500  0.500  0.000
Cl  0.500  0.500  0.500

- space group = Pm-3m
- uncorrected formation energy (kJ per mole of atoms) = 100.6
- energy above the most stable polymorph in this dataset (meV/atom) = 0
- total magnetization (μB/cell) = 1.16

# 8
First-principles (GGA-PBE) data for crystalline LaCrGe3 at its relaxed geometry, as listed in the Alexandria database.

a = 5.527 Å, b = 5.527 Å, c = 5.527 Å
α = 90.00°, β = 90.00°, γ = 90.00°
Fractional positions:
La  0.000  0.000  0.000
Cr  0.500  0.500  0.500
Ge  0.000  0.000  0.500
Ge  0.000  0.500  0.000
Ge  0.500  0.000  0.000

- space group = Pm-3m
- formation energy from the elements (eV per atom) = 1.719
- total magnetization (μB/cell) = 0.23

# 9
First-principles (GGA-PBE) data for crystalline BaNbCl2 at its relaxed geometry, as listed in the Alexandria database.

a = 7.642 Å, b = 7.642 Å, c = 7.642 Å
α = 90.00°, β = 90.00°, γ = 90.00°
Fractional positions:
Ba  0.000  0.000  0.000
Ba  0.000  0.500  0.500
Ba  0.500  0.000  0.500
Ba  0.500  0.500  0.000
Nb  0.000  0.000  0.500
Nb  0.000  0.500  0.000
Nb  0.500  0.000  0.000
Nb  0.500  0.500  0.500
Cl  0.250  0.250  0.250
Cl  0.250  0.250  0.750
Cl  0.250  0.750  0.250
Cl  0.250  0.750  0.750
Cl  0.750  0.250  0.250
Cl  0.750  0.250  0.750
Cl  0.750  0.750  0.250
Cl  0.750  0.750  0.750

- space group = Fm-3m
- uncorrected formation energy (kJ per mole of atoms) = -34.3
- energy above the most stable polymorph in this dataset (meV/atom) = 182
- total magnetization (μB/cell) = 19.99

# 10
First-principles (GGA-PBE) data for crystalline Mn3NbGe at its relaxed geometry, as listed in the Alexandria database.

a = 4.465 Å, b = 4.465 Å, c = 4.465 Å
α = 90.00°, β = 90.00°, γ = 90.00°
Fractional positions:
Mn  0.000  0.000  0.500
Mn  0.000  0.500  0.000
Mn  0.500  0.000  0.000
Nb  0.500  0.500  0.500
Ge  0.000  0.000  0.000

- space group = Pm-3m
- formation energy from the elements (eV per atom) = 0.830
- energy above the most stable polymorph in this dataset (meV/atom) = 0
- total magnetization (μB/cell) = 7.40

# 11
First-principles (GGA-PBE) data for crystalline ErGa4Ge at its relaxed geometry, as listed in the Alexandria database.

a = 5.463 Å, b = 5.463 Å, c = 5.463 Å
α = 60.00°, β = 60.00°, γ = 60.00°
Fractional positions:
Er  0.000  0.000  0.000
Ga  0.126  0.625  0.625
Ga  0.625  0.126  0.625
Ga  0.625  0.625  0.126
Ga  0.625  0.625  0.625
Ge  0.250  0.250  0.250

- space group = F-43m
- formation energy from the elements (eV per atom) = -0.180
- total magnetization (μB/cell) = 0.00

# 12
First-principles (GGA-PBE) data for crystalline YCuSe2 at its relaxed geometry, as listed in the Alexandria database.

a = 3.514 Å, b = 3.514 Å, c = 6.740 Å
α = 90.00°, β = 90.00°, γ = 90.00°
Fractional positions:
Y  0.000  0.000  0.000
Cu  0.000  0.000  0.500
Se  0.500  0.500  0.251
Se  0.500  0.500  0.749

- space group = P4/mmm
- uncorrected formation energy (kJ per mole of atoms) = -67.4
- total magnetization (μB/cell) = 0.00

# 13
First-principles (GGA-PBE) data for crystalline LaLu2Tl at its relaxed geometry, as listed in the Alexandria database.

a = 3.623 Å, b = 3.623 Å, c = 9.102 Å
α = 90.00°, β = 90.00°, γ = 90.00°
Fractional positions:
La  0.000  0.000  0.000
Lu  0.500  0.500  0.281
Lu  0.500  0.500  0.719
Tl  0.000  0.000  0.500

- space group = P4/mmm
- formation energy from the elements (eV per atom) = -0.154
- energy above the most stable polymorph in this dataset (meV/atom) = 0
- total magnetization (μB/cell) = 0.00

# 14
First-principles (GGA-PBE) data for crystalline Y3Ni3Bi4 at its relaxed geometry, as listed in the Alexandria database.

a = 8.430 Å, b = 8.430 Å, c = 8.430 Å
α = 109.47°, β = 109.47°, γ = 109.47°
Fractional positions:
Y  0.125  0.875  0.250
Y  0.250  0.125  0.875
Y  0.375  0.625  0.750
Y  0.625  0.750  0.375
Y  0.750  0.375  0.625
Y  0.875  0.250  0.125
Ni  0.125  0.750  0.875
Ni  0.250  0.625  0.375
Ni  0.375  0.250  0.625
Ni  0.625  0.375  0.250
Ni  0.750  0.875  0.125
Ni  0.875  0.125  0.750
Bi  0.000  0.148  0.500
Bi  0.000  0.648  0.500
Bi  0.148  0.500  0.000
Bi  0.352  0.352  0.352
Bi  0.500  0.000  0.148
Bi  0.500  0.000  0.648
Bi  0.648  0.500  0.000
Bi  0.852  0.852  0.852

- space group = I-43d
- formation energy from the elements (eV per atom) = -0.559
- total magnetization (μB/cell) = 0.00

# 15
First-principles (GGA-PBE) data for crystalline MoPbS3 at its relaxed geometry, as listed in the Alexandria database.

a = 4.755 Å, b = 4.755 Å, c = 4.755 Å
α = 90.00°, β = 90.00°, γ = 90.00°
Fractional positions:
Mo  0.000  0.000  0.000
Pb  0.500  0.500  0.500
S  0.000  0.000  0.500
S  0.000  0.500  0.000
S  0.500  0.000  0.000

- space group = Pm-3m
- uncorrected formation energy (kJ per mole of atoms) = -20.8
- energy above the most stable polymorph in this dataset (meV/atom) = 0
- total magnetization (μB/cell) = 0.00

# 16
First-principles (GGA-PBE) data for crystalline SmAl4Zn12 at its relaxed geometry, as listed in the Alexandria database.

a = 7.621 Å, b = 7.621 Å, c = 7.621 Å
α = 109.47°, β = 109.47°, γ = 109.47°
Fractional positions:
Sm  0.000  0.000  0.000
Al  0.000  0.000  0.500
Al  0.000  0.500  0.000
Al  0.500  0.000  0.000
Al  0.500  0.500  0.500
Zn  0.148  0.502  0.355
Zn  0.148  0.793  0.645
Zn  0.207  0.355  0.852
Zn  0.355  0.148  0.502
Zn  0.355  0.852  0.207
Zn  0.498  0.645  0.852
Zn  0.502  0.355  0.148
Zn  0.645  0.148  0.793
Zn  0.645  0.852  0.498
Zn  0.793  0.645  0.148
Zn  0.852  0.207  0.355
Zn  0.852  0.498  0.645

- space group = Im-3
- formation energy from the elements (eV per atom) = 0.219
- total magnetization (μB/cell) = 0.00

# 17
First-principles (GGA-PBE) data for crystalline Ta2MoPb at its relaxed geometry, as listed in the Alexandria database.

a = 3.354 Å, b = 5.044 Å, c = 9.195 Å
α = 90.00°, β = 90.00°, γ = 90.00°
Fractional positions:
Ta  0.000  0.000  0.226
Ta  0.000  0.000  0.774
Ta  0.500  0.500  0.226
Ta  0.500  0.500  0.774
Mo  0.000  0.500  0.000
Mo  0.500  0.000  0.000
Pb  0.000  0.500  0.500
Pb  0.500  0.000  0.500

- space group = Cmmm
- formation energy from the elements (eV per atom) = 0.268
- total magnetization (μB/cell) = 0.00

# 18
First-principles (GGA-PBE) data for crystalline SmAu12 at its relaxed geometry, as listed in the Alexandria database.

a = 8.064 Å, b = 8.064 Å, c = 8.064 Å
α = 60.00°, β = 60.00°, γ = 60.00°
Fractional positions:
Sm  0.000  0.000  0.000
Au  0.161  0.500  0.500
Au  0.161  0.500  0.839
Au  0.161  0.839  0.500
Au  0.500  0.161  0.500
Au  0.500  0.161  0.839
Au  0.500  0.500  0.161
Au  0.500  0.500  0.839
Au  0.500  0.839  0.161
Au  0.500  0.839  0.500
Au  0.839  0.161  0.500
Au  0.839  0.500  0.161
Au  0.839  0.500  0.500

- space group = Fm-3m
- formation energy from the elements (eV per atom) = 0.482
- total magnetization (μB/cell) = 0.00

# 19
First-principles (GGA-PBE) data for crystalline MgSn2Hg4 at its relaxed geometry, as listed in the Alexandria database.

a = 7.959 Å, b = 4.403 Å, c = 11.289 Å
α = 90.00°, β = 102.59°, γ = 90.00°
Fractional positions:
Mg  0.000  0.000  0.000
Mg  0.500  0.500  0.000
Sn  0.187  0.000  0.574
Sn  0.313  0.500  0.426
Sn  0.687  0.500  0.574
Sn  0.813  0.000  0.426
Hg  0.089  0.000  0.271
Hg  0.135  0.500  0.880
Hg  0.365  0.000  0.120
Hg  0.411  0.500  0.729
Hg  0.589  0.500  0.271
Hg  0.635  0.000  0.880
Hg  0.865  0.500  0.120
Hg  0.911  0.000  0.729

- space group = C2/m
- formation energy from the elements (eV per atom) = 0.006
- total magnetization (μB/cell) = 0.00

# 20
First-principles (GGA-PBE) data for crystalline TbNd7Er3 at its relaxed geometry, as listed in the Alexandria database.

a = 9.989 Å, b = 9.989 Å, c = 11.499 Å
α = 90.01°, β = 90.01°, γ = 138.64°
Fractional positions:
Tb  0.000  0.000  0.000
Tb  0.500  0.500  0.500
Nd  0.088  0.412  0.470
Nd  0.088  0.413  0.031
Nd  0.165  0.339  0.750
Nd  0.247  0.247  0.250
Nd  0.339  0.165  0.750
Nd  0.412  0.088  0.470
Nd  0.413  0.088  0.031
Nd  0.587  0.912  0.969
Nd  0.588  0.912  0.530
Nd  0.661  0.835  0.250
Nd  0.753  0.753  0.750
Nd  0.835  0.661  0.250
Nd  0.912  0.587  0.969
Nd  0.912  0.588  0.530
Er  0.000  0.000  0.500
Er  0.249  0.750  0.250
Er  0.250  0.751  0.750
Er  0.500  0.500  0.000
Er  0.750  0.249  0.250
Er  0.751  0.250  0.750

- space group = C2/m
- formation energy from the elements (eV per atom) = 0.096
- energy above the most stable polymorph in this dataset (meV/atom) = 0
- total magnetization (μB/cell) = 0.00

no.,N(E_F) (states/eV per atom)
1,0.0357
2,0.9249
3,1.5120
4,0.7619
5,0.6924
6,1.2526
7,0.8055
8,1.1211
9,1.3943
10,1.2553
11,0.3066
12,0.4838
13,1.0042
14,0.7638
15,0.5845
16,0.7035
17,0.3893
18,0.8020
19,0.3657
20,1.6637